Entry 1:
Density functional theory data (PBE) for a relaxed structure of PuMgIrOs.

Summary:
Its energy of formation from the pure elements is -0.1587 eV per atom. The magnetic moment comes out at 0.959 μB per atom.

a b c (Å): 4.6236 4.6236 4.6236
angles (deg): 60.00 60.00 60.00
Positions (direct):
Pu1 0.0000 0.0000 0.0000
Mg1 0.5000 0.5000 0.5000
Ir1 0.2500 0.2500 0.2500
Os1 0.7500 0.7500 0.7500

---

Entry 2:
Density functional theory data (PBE) for a relaxed structure of Mg2Sc5Ir2Os.

Summary:
Its energy of formation from the pure elements is -0.4928 eV per atom. The magnetic moment comes out at 0.000 μB per atom.

a b c (Å): 10.9505 10.9505 3.3972
angles (deg): 90.00 90.00 90.00
Positions (direct):
Mg1 0.1788 0.3212 0.0000
Mg2 0.3212 0.8212 0.0000
Mg3 0.6788 0.1788 0.0000
Mg4 0.8212 0.6788 0.0000
Sc1 0.0000 0.5000 0.5000
Sc2 0.0622 0.8062 0.5000
Sc3 0.1938 0.0622 0.5000
Sc4 0.3062 0.5622 0.5000
Sc5 0.4378 0.3062 0.5000
Sc6 0.5000 0.0000 0.5000
Sc7 0.5622 0.6938 0.5000
Sc8 0.6938 0.4378 0.5000
Sc9 0.8062 0.9378 0.5000
Sc10 0.9378 0.1938 0.5000
Ir1 0.1309 0.6309 0.0000
Ir2 0.3691 0.1309 0.0000
Ir3 0.6309 0.8691 0.0000
Ir4 0.8691 0.3691 0.0000
Os1 0.0000 0.0000 0.0000
Os2 0.5000 0.5000 0.0000

---

Entry 3:
Density functional theory data (PBE) for a relaxed structure of MgSiIr2Os.

Summary:
The calculation puts the total energy at -30.9 eV/cell. The magnetic moment comes out at 0.000 μB per atom.

a b c (Å): 4.8411 4.8411 4.4920
angles (deg): 90.00 90.00 90.00
Positions (direct):
Mg1 0.0000 0.0000 0.0000
Si1 0.5000 0.5000 0.0000
Ir1 0.0000 0.5000 0.5000
Ir2 0.5000 0.0000 0.5000
Os1 0.5000 0.5000 0.5000